# 1
A relaxed ErCdTe2 crystal. Source: Alexandria, functional GGA-PBE.

Lattice parameters (Å, degrees): 8.1759 8.1759 8.1759 30.61 30.61 30.61
Last column: nearest neighbours and their distance in Å.
Sites, in units of the cell vectors:
Er: 0.0000 0.0000 0.0000  6 Te 3.05-3.10
Cd: 0.8343 0.8343 0.8343  6 Te 3.24-3.27
Te: 0.4120 0.4120 0.4120  3 Er 3.10, 3 Cd 3.24
Te: 0.5915 0.5915 0.5915  3 Er 3.05, 3 Cd 3.27

## Properties
Theoretical density in g/cm³: 7.07
Magnetic moment in μB/atom: 0.0000
Offset from the most stable computed form in eV/atom: 0.0000


# 2
A relaxed Er4CdTe crystal. Source: Alexandria, functional GGA-PBE.

Lattice parameters (Å, degrees): 5.9070 8.2560 8.0115 90.00 107.37 90.00
Last column: nearest neighbours and their distance in Å.
Sites, in units of the cell vectors:
Er: 0.0021 0.0523 0.2561  2 Te 3.02-3.08, 2 Cd 3.09-3.11, 1 Er 3.27
Er: 0.0021 0.4477 0.2561  2 Te 3.02-3.08, 2 Cd 3.09-3.11, 1 Er 3.27
Er: 0.3848 0.7500 0.5290  2 Cd 2.98-3.24
Er: 0.4322 0.2500 0.0143  2 Te 3.00-3.10, 1 Cd 3.22
Er: 0.5678 0.7500 0.9857  2 Te 3.00-3.10, 1 Cd 3.22
Er: 0.6152 0.2500 0.4710  2 Cd 2.98-3.24
Er: 0.9979 0.5523 0.7439  2 Te 3.02-3.08, 2 Cd 3.09-3.11, 1 Er 3.27
Er: 0.9979 0.9477 0.7439  2 Te 3.02-3.08, 2 Cd 3.09-3.11, 1 Er 3.27
Cd: 0.1897 0.2500 0.5976  7 Er 2.98-3.24
Cd: 0.8103 0.7500 0.4024  7 Er 2.98-3.24
Te: 0.1164 0.7500 0.0848  6 Er 3.00-3.10
Te: 0.8836 0.2500 0.9152  6 Er 3.00-3.10

## Properties
Theoretical density in g/cm³: 8.10
Magnetic moment in μB/atom: 0.0000
Final energy in eV per atom: -3.96


# 3
A relaxed Er6CdTe5 crystal. Source: Alexandria, functional GGA-PBE.

Lattice parameters (Å, degrees): 7.5082 7.5082 7.4832 99.60 99.60 119.87
Last column: nearest neighbours and their distance in Å.
Sites, in units of the cell vectors:
Er: 0.0783 0.3980 0.7381  1 Cd 2.93, 5 Te 3.07-3.12
Er: 0.2353 0.2353 0.2543  1 Cd 2.95, 5 Te 3.08-3.18
Er: 0.3980 0.0783 0.7381  1 Cd 2.93, 5 Te 3.07-3.12
Er: 0.6020 0.9217 0.2619  1 Cd 2.93, 5 Te 3.07-3.12
Er: 0.7647 0.7647 0.7457  1 Cd 2.95, 5 Te 3.08-3.18
Er: 0.9217 0.6020 0.2619  1 Cd 2.93, 5 Te 3.07-3.12
Cd: 0.0000 0.0000 0.5000  6 Er 2.93-2.95
Te: 0.1749 0.8251 0.0000  6 Er 3.07-3.12
Te: 0.3359 0.6641 0.5000  6 Er 3.07-3.08
Te: 0.5000 0.5000 0.0000  6 Er 3.08-3.18
Te: 0.6641 0.3359 0.5000  6 Er 3.07-3.08
Te: 0.8251 0.1749 0.0000  6 Er 3.07-3.12

## Properties
Theoretical density in g/cm³: 8.44
Magnetic moment in μB/atom: 0.0000
Final energy in eV per atom: -4.74


# 4
A relaxed Er5CdTe2 crystal. Source: Alexandria, functional GGA-PBE.

Lattice parameters (Å, degrees): 6.9672 6.9672 13.0163 90.00 90.00 129.89
Last column: nearest neighbours and their distance in Å.
Sites, in units of the cell vectors:
Er: 0.0515 0.9485 0.6135  2 Te 3.05-3.19, 1 Cd 3.15, 1 Er 3.23
Er: 0.0515 0.9485 0.8865  2 Te 3.05-3.19, 1 Cd 3.15, 1 Er 3.23
Er: 0.3841 0.6159 0.5530  1 Cd 3.02, 3 Te 3.10-3.13, 1 Er 3.24
Er: 0.3841 0.6159 0.9470  1 Cd 3.02, 3 Te 3.10-3.13, 1 Er 3.24
Er: 0.3845 0.6155 0.2500  2 Te 3.21, 2 Cd 3.45, 4 Er 3.54
Er: 0.6155 0.3845 0.7500  2 Te 3.21, 2 Cd 3.45, 4 Er 3.54
Er: 0.6159 0.3841 0.0530  1 Cd 3.02, 3 Te 3.10-3.13, 1 Er 3.24
Er: 0.6159 0.3841 0.4470  1 Cd 3.02, 3 Te 3.10-3.13, 1 Er 3.24
Er: 0.9485 0.0515 0.1135  2 Te 3.05-3.19, 1 Cd 3.15, 1 Er 3.23
Er: 0.9485 0.0515 0.3865  2 Te 3.05-3.19, 1 Cd 3.15, 1 Er 3.23
Cd: 0.2576 0.7424 0.7500  4 Er 3.02-3.15
Cd: 0.7424 0.2576 0.2500  4 Er 3.02-3.15
Te: 0.1892 0.8108 0.0920  6 Er 3.05-3.21
Te: 0.1892 0.8108 0.4080  6 Er 3.05-3.21
Te: 0.8108 0.1892 0.5920  6 Er 3.05-3.21
Te: 0.8108 0.1892 0.9080  6 Er 3.05-3.21

## Properties
Theoretical density in g/cm³: 8.25
Magnetic moment in μB/atom: 0.0001
Final energy in eV per atom: -4.20


# 5
A relaxed Er3CdTe crystal. Source: Alexandria, functional GGA-PBE.

Lattice parameters (Å, degrees): 8.5742 4.0185 8.8491 90.00 109.58 90.00
Last column: nearest neighbours and their distance in Å.
Sites, in units of the cell vectors:
Er: 0.0000 0.0000 0.0000  3 Cd 3.16-3.25, 2 Te 3.19
Er: 0.0055 0.5000 0.3401  2 Te 3.11-3.15, 2 Cd 3.30, 4 Er 3.34-3.47
Er: 0.3470 0.0000 0.3821  2 Te 2.96, 2 Cd 3.05, 1 Er 3.26
Er: 0.3989 0.0000 0.8841  4 Te 2.96-3.25, 2 Cd 3.14
Er: 0.6786 0.0000 0.2796  2 Te 3.22, 6 Er 3.26-3.59, 1 Cd 3.29
Er: 0.7019 0.5000 0.6233  2 Cd 3.12, 2 Te 3.13-3.37
Cd: 0.3016 0.5000 0.1110  6 Er 3.05-3.16
Cd: 0.9810 0.0000 0.6268  6 Er 3.12-3.30
Te: 0.3380 0.5000 0.6254  6 Er 2.96-3.13
Te: 0.7145 0.5000 0.0081  8 Er 3.15-3.37

## Properties
Theoretical density in g/cm³: 8.58
Magnetic moment in μB/atom: 0.0000
Final energy in eV per atom: -4.04


# 6
A relaxed Er7Cd2Te2 crystal. Source: Alexandria, functional GGA-PBE.

Lattice parameters (Å, degrees): 6.7447 6.7447 7.5707 90.00 90.00 106.39
Last column: nearest neighbours and their distance in Å.
Sites, in units of the cell vectors:
Er: 0.0000 0.0000 0.0000  2 Te 3.05
Er: 0.0000 0.5000 0.2826  2 Te 2.96, 2 Cd 3.22, 1 Er 3.29
Er: 0.0000 0.5000 0.7174  2 Te 2.96, 2 Cd 3.22, 1 Er 3.29
Er: 0.5000 0.0000 0.2826  2 Te 2.96, 2 Cd 3.22, 1 Er 3.29
Er: 0.5000 0.0000 0.7174  2 Te 2.96, 2 Cd 3.22, 1 Er 3.29
Er: 0.5000 0.5000 0.2703  2 Te 3.11, 2 Cd 3.16, 5 Er 3.37-3.48
Er: 0.5000 0.5000 0.7297  2 Te 3.11, 2 Cd 3.16, 5 Er 3.37-3.48
Cd: 0.1740 0.1740 0.5000  1 Cd 2.81
Cd: 0.8260 0.8260 0.5000  1 Cd 2.81
Te: 0.2828 0.7172 0.0000  7 Er 2.96-3.11
Te: 0.7172 0.2828 0.0000  7 Er 2.96-3.11

## Properties
Theoretical density in g/cm³: 8.30
Magnetic moment in μB/atom: 0.0001
Final energy in eV per atom: -3.91


# 7
A relaxed Er4CdTe3 crystal. Source: Alexandria, functional GGA-PBE.

Lattice parameters (Å, degrees): 7.5885 7.5885 4.1782 90.00 90.00 107.76
Last column: nearest neighbours and their distance in Å.
Sites, in units of the cell vectors:
Er: 0.2403 0.2403 0.5000  2 Cd 3.00, 4 Te 3.07-3.12
Er: 0.2424 0.7576 0.0000  1 Cd 2.97, 5 Te 3.06-3.16
Er: 0.7576 0.2424 0.0000  1 Cd 2.97, 5 Te 3.06-3.16
Er: 0.7597 0.7597 0.5000  2 Cd 3.00, 4 Te 3.07-3.12
Cd: 0.0000 0.0000 0.0000  6 Er 2.97-3.00
Te: 0.0000 0.5000 0.5000  6 Er 3.06-3.07
Te: 0.5000 0.0000 0.5000  6 Er 3.06-3.07
Te: 0.5000 0.5000 0.0000  6 Er 3.12-3.16

## Properties
Theoretical density in g/cm³: 8.44
Magnetic moment in μB/atom: 0.0000
Final energy in eV per atom: -4.54


# 8
A relaxed Er8CdTe2 crystal. Source: Alexandria, functional GGA-PBE.

Lattice parameters (Å, degrees): 8.6271 8.6271 6.1810 91.73 91.73 44.49
Last column: nearest neighbours and their distance in Å.
Sites, in units of the cell vectors:
Er: 0.0819 0.0819 0.3747  1 Te 2.98, 1 Er 3.08
Er: 0.1484 0.6596 0.1450  2 Te 3.12-3.21, 1 Cd 3.12, 3 Er 3.19-3.37
Er: 0.2946 0.2946 0.6195  2 Te 3.15-3.28, 1 Cd 3.39
Er: 0.3404 0.8516 0.8550  2 Te 3.12-3.21, 1 Cd 3.12, 3 Er 3.19-3.37
Er: 0.6596 0.1484 0.1450  2 Te 3.12-3.21, 1 Cd 3.12, 3 Er 3.19-3.37
Er: 0.7054 0.7054 0.3805  2 Te 3.15-3.28, 1 Cd 3.39
Er: 0.8516 0.3404 0.8550  2 Te 3.12-3.21, 1 Cd 3.12, 3 Er 3.19-3.37
Er: 0.9181 0.9181 0.6253  1 Te 2.98, 1 Er 3.08
Cd: 0.5000 0.5000 0.5000  6 Er 3.12-3.39
Te: 0.2390 0.2390 0.1260  7 Er 2.98-3.28
Te: 0.7610 0.7610 0.8740  7 Er 2.98-3.28

## Properties
Theoretical density in g/cm³: 8.79
Magnetic moment in μB/atom: 0.0004
Final energy in eV per atom: -4.34


# 9
A relaxed ErCdTe2 crystal. Source: Alexandria, functional GGA-PBE.

Lattice parameters (Å, degrees): 9.5494 9.5494 9.5494 26.47 26.47 26.47
Last column: nearest neighbours and their distance in Å.
Sites, in units of the cell vectors:
Er: 0.0000 0.0000 0.0000  6 Te 3.05
Cd: 0.5000 0.5000 0.5000  2 Te 2.89
Te: 0.3952 0.3952 0.3952  1 Cd 2.89, 3 Er 3.05
Te: 0.6048 0.6048 0.6048  1 Cd 2.89, 3 Er 3.05

## Properties
Theoretical density in g/cm³: 5.83
Magnetic moment in μB/atom: 0.0000
Offset from the most stable computed form in eV/atom: 0.0671


# 10
A relaxed Er3Tl4CdTe8 crystal. Source: Alexandria, functional GGA-PBE.

Lattice parameters (Å, degrees): 9.4702 9.4702 9.4702 55.91 55.91 55.91
Last column: nearest neighbours and their distance in Å.
Sites, in units of the cell vectors:
Er: 0.0000 0.5000 0.5000  6 Te 3.07-3.08
Er: 0.5000 0.0000 0.5000  6 Te 3.07-3.08
Er: 0.5000 0.5000 0.0000  6 Te 3.07-3.08
Tl: 0.0000 0.0000 0.5000  6 Te 3.42-3.43
Tl: 0.0000 0.5000 0.0000  6 Te 3.42-3.43
Tl: 0.5000 0.0000 0.0000  6 Te 3.42-3.43
Tl: 0.5000 0.5000 0.5000  6 Te 3.42
Cd: 0.0000 0.0000 0.0000  6 Te 3.09
Te: 0.2387 0.2387 0.7366  2 Er 3.07, 1 Cd 3.09, 3 Tl 3.42-3.43
Te: 0.2387 0.7366 0.2387  2 Er 3.07, 1 Cd 3.09, 3 Tl 3.42-3.43
Te: 0.2617 0.2617 0.2617  3 Er 3.08, 3 Tl 3.42
Te: 0.2634 0.7613 0.7613  2 Er 3.07, 1 Cd 3.09, 3 Tl 3.42-3.43
Te: 0.7366 0.2387 0.2387  2 Er 3.07, 1 Cd 3.09, 3 Tl 3.42-3.43
Te: 0.7383 0.7383 0.7383  3 Er 3.08, 3 Tl 3.42
Te: 0.7613 0.2634 0.7613  2 Er 3.07, 1 Cd 3.09, 3 Tl 3.42-3.43
Te: 0.7613 0.7613 0.2634  2 Er 3.07, 1 Cd 3.09, 3 Tl 3.42-3.43

## Properties
Theoretical density in g/cm³: 7.49
Magnetic moment in μB/atom: 0.0000
Final energy in eV per atom: -3.90